Record 1
Here is a geometry-optimized Pm3Nd8Sm4 structure from the Alexandria database. Energies are from GGA-PBE.

energy relative to the elements = 29.8 kJ per mole of atoms
space group = C2/m, No. 12
DOS at the Fermi energy = 25.12 states/eV/f.u.
mass density = 6.9 g/cm³
volume = 35.3 A^3/atom

POSCAR file:
```
Pm3Nd8Sm4
1.0
7.0649 -6.1670 0.0000
7.0649 6.1670 0.0000
-3.3916 0.0000 6.0693
Pm Nd Sm
3 8 4
direct
0.0000 0.0000 0.0000
0.0000 0.5000 0.0000
0.5000 0.0000 0.0000
0.2034 0.2034 0.7011
0.2032 0.7968 0.5000
0.2521 0.2521 0.2486
0.2521 0.7479 0.0000
0.7479 0.2521 0.0000
0.7479 0.7479 0.7514
0.7968 0.2032 0.5000
0.7966 0.7966 0.2989
0.0000 0.5000 0.5000
0.5000 0.0000 0.5000
0.5000 0.5000 0.0000
0.5000 0.5000 0.5000
```


Record 2
Here is a geometry-optimized Pm8NdSm2 structure from the Alexandria database. Energies are from GGA-PBE.

energy relative to the elements = 14.6 kJ per mole of atoms
space group = C2/m, No. 12
DOS at the Fermi energy = 17.14 states/eV/f.u.
relative energy among the computed polymorphs = 138 meV/atom
mass density = 6.8 g/cm³
volume = 35.7 A^3/atom

POSCAR file:
```
Pm8NdSm2
1.0
9.6856 -3.5573 0.0000
9.6856 3.5573 0.0000
-0.3567 0.0000 5.7027
Pm Nd Sm
8 1 2
direct
0.0446 0.0446 0.2372
0.1030 0.6355 0.2690
0.3127 0.3127 0.7695
0.3645 0.8970 0.7310
0.6355 0.1030 0.2690
0.6873 0.6873 0.2305
0.8970 0.3645 0.7310
0.9554 0.9554 0.7628
0.5000 0.5000 0.0000
0.2156 0.2156 0.2560
0.7844 0.7844 0.7440
```


Record 3
Here is a geometry-optimized Pm7Nd5Sm structure from the Alexandria database. Energies are from GGA-PBE.

energy relative to the elements = 22.0 kJ per mole of atoms
space group = Imm2, No. 44
DOS at the Fermi energy = 22.42 states/eV/f.u.
mass density = 6.8 g/cm³
volume = 35.6 A^3/atom

POSCAR file:
```
Pm7Nd5Sm
1.0
-3.4333 5.6351 5.9740
3.4333 -5.6351 5.9740
3.4333 5.6351 -5.9740
Pm Nd Sm
7 5 1
direct
0.0000 0.0000 0.0000
0.2361 0.5568 0.6793
0.3018 0.3018 0.0000
0.3158 0.8158 0.5000
0.3902 0.0589 0.3312
0.7277 0.0589 0.6688
0.8775 0.5568 0.3207
0.0245 0.0264 0.4549
0.0245 0.5696 0.9981
0.5715 0.0264 0.0019
0.5715 0.5696 0.5451
0.8366 0.3366 0.5000
0.6066 0.6066 0.0000
```


Record 4
Here is a geometry-optimized Pm5NdSm3 structure from the Alexandria database. Energies are from GGA-PBE.

energy relative to the elements = 14.8 kJ per mole of atoms
space group = C2/c, No. 15
DOS at the Fermi energy = 12.95 states/eV/f.u.
relative energy among the computed polymorphs = 0 meV/atom
mass density = 7.0 g/cm³
volume = 34.7 A^3/atom

POSCAR file:
```
Pm5NdSm3
1.0
8.3084 -3.4238 0.0000
8.3084 3.4238 0.0000
-3.9734 0.0000 10.9841
Pm Nd Sm
10 2 6
direct
0.1088 0.1092 0.0484
0.1092 0.1088 0.5484
0.1812 0.8188 0.7500
0.2220 0.4305 0.6422
0.4305 0.2220 0.1422
0.5695 0.7780 0.8578
0.7780 0.5695 0.3578
0.8188 0.1812 0.2500
0.8908 0.8912 0.4516
0.8912 0.8908 0.9516
0.2656 0.7344 0.2500
0.7344 0.2656 0.7500
0.1313 0.3488 0.8659
0.3488 0.1313 0.3659
0.5000 0.5000 0.0000
0.5000 0.5000 0.5000
0.6512 0.8687 0.6341
0.8687 0.6512 0.1341
```


Record 5
Here is a geometry-optimized PmNd5Sm7 structure from the Alexandria database. Energies are from GGA-PBE.

energy relative to the elements = 22.4 kJ per mole of atoms
space group = Imm2, No. 44
DOS at the Fermi energy = 22.31 states/eV/f.u.
mass density = 6.9 g/cm³
volume = 35.3 A^3/atom

POSCAR file:
```
PmNd5Sm7
1.0
-3.4299 5.6200 5.9564
3.4299 -5.6200 5.9564
3.4299 5.6200 -5.9564
Pm Nd Sm
1 5 7
direct
0.0000 0.0000 0.0000
0.0327 0.0345 0.4560
0.0327 0.5767 0.9982
0.5785 0.0345 0.0018
0.5785 0.5767 0.5440
0.7679 0.2679 0.5000
0.2142 0.5454 0.6688
0.2895 0.7895 0.5000
0.3050 0.3050 0.0000
0.3685 0.0468 0.3217
0.6054 0.6054 0.0000
0.7250 0.0468 0.6783
0.8766 0.5454 0.3312
```


Record 6
Here is a geometry-optimized PmNd7Sm2 structure from the Alexandria database. Energies are from GGA-PBE.

energy relative to the elements = 60.3 kJ per mole of atoms
space group = Cmmm, No. 65
DOS at the Fermi energy = 15.49 states/eV/f.u.
relative energy among the computed polymorphs = 464 meV/atom
mass density = 5.8 g/cm³
volume = 41.7 A^3/atom

POSCAR file:
```
PmNd7Sm2
1.0
4.4516 -8.2707 0.0000
4.4516 8.2707 0.0000
0.0000 0.0000 5.6574
Pm Nd Sm
1 7 2
direct
0.0000 0.0000 0.0000
0.0661 0.2937 0.5000
0.2240 0.7760 0.0000
0.2937 0.0661 0.5000
0.5000 0.5000 0.5000
0.7063 0.9339 0.5000
0.7760 0.2240 0.0000
0.9339 0.7063 0.5000
0.2961 0.7039 0.5000
0.7039 0.2961 0.5000
```